Compound: Nd2GaH
Source: Alexandria via LeMat-Bulk
Functional: GGA-PBE
Structure: optimized geometry

Computed properties:
Fermi-level density of states, states/eV/cell: 2.439
Distance to the lowest polymorph of the same formula, meV/atom: 257.4
Crystal system: tetragonal

Geometry as CIF:
```
data_Nd2GaH
_chemical_formula_sum 'Nd2 Ga1 H1'
_space_group_name_H-M_alt 'P 4/m m m'
_space_group_IT_number 123
_space_group_name_Hall '-P 4 2'
_cell_length_a 3.394
_cell_length_b 3.394
_cell_length_c 7.394
_cell_angle_alpha 90.00
_cell_angle_beta 90.00
_cell_angle_gamma 90.00
loop_
_atom_site_label
_atom_site_type_symbol
_atom_site_fract_x
_atom_site_fract_y
_atom_site_fract_z
_atom_site_occupancy
Nd1 Nd 0.000 0.000 0.233 1
Ga1 Ga 0.500 0.500 0.500 1
H1 H 0.500 0.500 0.000 1
```